No. 1
Crystalline LaPrPt10 at its relaxed geometry. Source: Alexandria via LeMat-Bulk, functional GGA-PBE.

The space group is Pmmm (No. 47) and the conventional cell measures 4.435, 5.456 and 9.418 Å, with angles of 90.00, 90.00 and 90.00 degrees. Symmetry generates all atoms from La at (0.000, 0.000, 0.000), Pr at (0.000, 0.500, 0.500), Pt at (0.000, 0.000, 0.333), Pt at (0.000, 0.500, 0.167), Pt at (0.500, 0.000, 0.500), Pt at (0.500, 0.251, 0.251) and Pt at (0.500, 0.500, 0.000).

As for the energy: -6.591 eV per atom. As for the crystal system: orthorhombic. The volume comes out at 19.0 Å³/atom. For the density of states at the Fermi level, the calculation gives 0.703 states/eV/atom.

No. 2
Crystalline TcAgH at its relaxed geometry. Source: Alexandria via LeMat-Bulk, functional GGA-PBE.

The space group is Cm (No. 8) and the conventional cell measures 5.010, 2.896 and 10.145 Å, with angles of 90.00, 99.41 and 90.00 degrees. Symmetry generates all atoms from Tc at (0.000, 0.000, 0.000), Tc at (0.082, 0.000, 0.226), Ag at (0.002, 0.500, 0.495), Ag at (0.243, 0.000, 0.732), H at (0.139, 0.500, 0.919) and H at (0.276, 0.500, 0.307).

As for the energy: -5.343 eV per atom. As for the crystal system: monoclinic. The volume comes out at 12.1 Å³/atom. For the density of states at the Fermi level, the calculation gives 0.512 states/eV/atom.

No. 3
Crystalline Ba5Hg2Sb5 at its relaxed geometry. Source: Alexandria via LeMat-Bulk, functional GGA-PBE.

The space group is C2/m (No. 12) and the conventional cell measures 17.622, 4.880 and 13.512 Å, with angles of 90.00, 129.45 and 90.00 degrees. Symmetry generates all atoms from Ba at (0.000, 0.000, 0.000), Ba at (0.126, 0.500, 0.817), Ba at (0.188, 0.500, 0.595), Hg at (0.107, 0.500, 0.247), Sb at (0.000, 0.000, 0.500), Sb at (0.073, 0.000, 0.338) and Sb at (0.198, 0.500, 0.126).

The calculation puts the uncorrected formation energy at -0.82 eV per atom. As for the crystal system: monoclinic. The volume comes out at 37.4 Å³/atom. For the density of states at the Fermi level, the calculation gives 0.296 states/eV/atom.

No. 4
Crystalline Y2AlSnH at its relaxed geometry. Source: Alexandria via LeMat-Bulk, functional GGA-PBE.

The space group is P4/mmm (No. 123) and the conventional cell measures 4.764, 4.764 and 4.416 Å, with angles of 90.00, 90.00 and 90.00 degrees. Symmetry generates all atoms from Y at (0.000, 0.500, 0.000), Al at (0.000, 0.000, 0.500), Sn at (0.500, 0.500, 0.500) and H at (0.000, 0.000, 0.000).

As for the energy: -5.212 eV per atom. As for the crystal system: tetragonal. The volume comes out at 20.0 Å³/atom. For the density of states at the Fermi level, the calculation gives 0.713 states/eV/atom.